1.
Material: Sm3TlBr3
Method: DFT, PBE-GGA
State: relaxed

Cell and atoms, written as extended XYZ:
```
7
Lattice="6.073 0.000 0.000 0.000 6.073 0.000 0.000 0.000 6.073" Properties=species:S:1:pos:R:3 pbc="T T T"
Br 0.000 0.000 3.037
Br 3.037 0.000 0.000
Br 0.000 3.037 0.000
Sm 0.000 3.037 3.037
Sm 3.037 0.000 3.037
Sm 3.037 3.037 0.000
Tl 3.037 3.037 3.037
```

Summary:
E ... -29.65 eV per cell
Spin magnetization ... 0.00 μB per cell

---

2.
Material: YF3
Method: DFT, PBE-GGA
State: relaxed

Cell and atoms, written as extended XYZ:
```
24
Lattice="-4.388 5.089 1.390 -1.060 -6.254 2.615 3.792 1.724 5.660" Properties=species:S:1:pos:R:3 pbc="T T T"
F 0.948 0.431 1.415
F 2.844 1.293 4.245
F -2.825 3.235 1.589
F -1.471 -2.156 3.249
F 0.559 -3.264 4.301
F -1.672 0.131 1.762
F -4.450 0.960 3.370
F 2.795 -0.402 6.295
F 0.016 0.427 7.903
F 0.425 -1.294 6.079
F 1.169 -2.677 8.077
F -0.185 2.714 6.416
F -1.518 0.620 5.872
F -2.130 -1.912 5.691
F -0.138 -0.062 3.793
F -2.215 3.822 5.365
F 0.474 2.470 3.974
F -2.081 1.852 3.586
Y 2.151 -2.798 5.956
Y -0.570 2.191 1.896
Y -0.026 4.621 5.154
Y -2.616 -0.332 4.035
Y 0.581 -1.733 2.320
Y 0.960 0.889 5.630
```

Summary:
E ... -170.21 eV per cell
Spin magnetization ... 0.00 μB per cell

---

3.
Material: GdHfW4
Method: DFT, PBE-GGA
State: relaxed

Cell and atoms, written as extended XYZ:
```
6
Lattice="5.476 0.000 0.000 2.738 4.742 0.000 2.738 1.581 4.471" Properties=species:S:1:pos:R:3 pbc="T T T"
W 4.108 3.951 2.794
W 6.843 3.951 2.794
W 5.476 1.582 2.794
W 5.476 3.161 0.561
Gd 2.738 1.581 1.118
Hf 0.000 0.000 0.000
```

Summary:
Energy of formation from the pure elements ... 0.06 eV per atom
Spin magnetization ... 7.08 μB per cell

---

4.
Material: LiVSe3
Method: DFT, PBE-GGA
State: relaxed

Cell and atoms, written as extended XYZ:
```
10
Lattice="8.633 0.000 0.000 0.000 8.633 0.000 4.316 4.316 4.372" Properties=species:S:1:pos:R:3 pbc="T T T"
V 0.000 0.000 0.000
V 4.316 8.633 2.186
Se 4.316 6.812 3.643
Se 6.137 8.633 0.729
Se 4.316 10.454 3.643
Se 4.316 4.316 2.019
Se 8.633 8.633 2.353
Se 2.496 8.633 0.729
Li 8.633 4.316 3.638
Li 8.633 4.316 0.734
```

Summary:
Spin magnetization ... 0.61 μB per cell
ΔE to the lowest computed polymorph ... 487 meV per atom

---

5.
Material: RbNbGa2O
Method: DFT, PBE-GGA
State: relaxed

Cell and atoms, written as extended XYZ:
```
5
Lattice="-1.914 -1.301 3.810 -3.286 -1.931 -2.311 2.554 -4.175 -0.142" Properties=species:S:1:pos:R:3 pbc="T T T"
Ga -0.957 -0.650 1.905
Ga -1.643 -0.966 -1.155
Nb -1.324 -3.703 0.678
Rb 1.277 -2.087 -0.071
O 0.000 0.000 0.000
```

Summary:
E ... -19.36 eV per cell
Spin magnetization ... 0.53 μB per cell

---

6.
Material: CaVCu
Method: DFT, PBE-GGA
State: relaxed

Cell and atoms, written as extended XYZ:
```
3
Lattice="0.000 3.290 3.290 3.290 0.000 3.290 3.290 3.290 0.000" Properties=species:S:1:pos:R:3 pbc="T T T"
Ca 1.645 1.645 1.645
V 3.290 3.290 3.290
Cu 4.935 4.935 4.935
```

Summary:
Energy of formation from the pure elements ... 0.98 eV per atom
Spin magnetization ... 4.04 μB per cell
ΔE to the lowest computed polymorph ... 733 meV per atom

---

7.
Material: Er4MgIn3
Method: DFT, PBE-GGA
State: relaxed

Cell and atoms, written as extended XYZ:
```
8
Lattice="-1.256 4.983 -1.130 -4.458 -0.476 2.753 6.423 0.039 5.352" Properties=species:S:1:pos:R:3 pbc="T T T"
Er 2.673 1.718 4.619
Er -1.964 2.828 2.357
Er 0.894 0.575 1.545
Er -0.184 3.971 5.431
In 1.130 3.621 2.473
In -0.421 0.925 4.503
In -2.229 -0.238 1.377
Mg -0.628 2.491 -0.565
```

Summary:
Energy of formation from the pure elements ... -0.37 eV per atom
Spin magnetization ... 0.00 μB per cell

---

8.
Material: Pr6Nd2Tm3Mg
Method: DFT, PBE-GGA
State: relaxed

Cell and atoms, written as extended XYZ:
```
12
Lattice="-1.449 -0.252 -6.099 5.470 -2.310 2.026 -6.367 -9.607 2.988" Properties=species:S:1:pos:R:3 pbc="T T T"
Pr 1.408 -4.373 -2.307
Pr -0.589 -9.435 0.515
Pr -2.877 -8.755 -2.171
Pr -1.757 -2.734 -1.599
Pr -3.755 -7.796 1.222
Pr 0.530 -3.415 1.086
Nd 0.856 -0.938 -3.392
Nd 3.165 -1.624 -0.681
Tm 1.137 -6.772 2.171
Tm -3.484 -5.397 -3.256
Tm -1.173 -6.085 -0.542
Mg 0.000 0.000 0.000
```

Summary:
Energy of formation from the pure elements ... 0.01 eV per atom
Spin magnetization ... 0.00 μB per cell

---

9.
Material: ZnCu2IrO8
Method: DFT, PBE-GGA
State: relaxed

Cell and atoms, written as extended XYZ:
```
12
Lattice="-4.234 0.390 3.609 4.603 -1.140 2.937 0.613 4.776 -2.814" Properties=species:S:1:pos:R:3 pbc="T T T"
O -2.525 1.604 3.513
O -0.457 0.495 4.788
O -0.314 3.836 -0.923
O -1.185 1.686 0.399
O 1.592 3.222 1.659
O 1.142 0.502 1.940
O -2.421 3.450 0.670
O -0.744 2.846 3.554
Zn 0.000 0.000 0.000
Cu -1.719 2.396 2.034
Cu 0.184 -0.375 3.273
Ir 2.700 1.631 1.698
```

Summary:
E ... -60.86 eV per cell
Spin magnetization ... 0.00 μB per cell

---

10.
Material: TiNbV2Ni
Method: DFT, PBE-GGA
State: relaxed

Cell and atoms, written as extended XYZ:
```
5
Lattice="4.561 0.000 0.000 0.000 4.723 0.000 0.000 0.000 4.561" Properties=species:S:1:pos:R:3 pbc="T T T"
Nb 0.000 0.000 0.000
Ti 0.000 2.361 0.000
V 0.000 0.000 2.280
V 2.280 0.000 0.000
Ni 2.280 2.361 2.280
```

Summary:
Energy of formation from the pure elements ... 1.50 eV per atom
Spin magnetization ... 3.54 μB per cell

---

11.
Material: DyTmMg
Method: DFT, PBE-GGA
State: relaxed

Cell and atoms, written as extended XYZ:
```
6
Lattice="-0.373 -5.132 0.899 3.318 -0.140 0.577 0.083 1.712 9.822" Properties=species:S:1:pos:R:3 pbc="T T T"
Tm 1.625 -0.972 9.619
Tm 2.199 -4.397 5.474
Mg 1.014 -2.070 3.050
Mg 2.743 -5.000 2.227
Dy 0.481 -1.485 6.220
Dy 0.023 -3.746 8.296
```

Summary:
Energy of formation from the pure elements ... 0.06 eV per atom
Spin magnetization ... 0.00 μB per cell
ΔE to the lowest computed polymorph ... 110 meV per atom

---

12.
Material: BaLa3Pt
Method: DFT, PBE-GGA
State: relaxed

Cell and atoms, written as extended XYZ:
```
5
Lattice="-1.258 -3.059 -4.870 1.438 -4.995 2.765 -5.569 -0.598 1.815" Properties=species:S:1:pos:R:3 pbc="T T T"
La -2.784 -0.299 0.907
La -0.629 -1.529 -2.435
La 0.719 -2.497 1.383
Pt 0.000 0.000 0.000
Ba -2.695 -4.326 -0.145
```

Summary:
Energy of formation from the pure elements ... -0.37 eV per atom
Spin magnetization ... 1.75 μB per cell
ΔE to the lowest computed polymorph ... 45 meV per atom

---

13.
Material: Tl4HgBi4
Method: DFT, PBE-GGA
State: relaxed

Cell and atoms, written as extended XYZ:
```
9
Lattice="-2.519 3.515 3.094 -2.721 -3.546 6.381 5.022 3.197 5.025" Properties=species:S:1:pos:R:3 pbc="T T T"
Bi 0.750 4.510 6.909
Bi -0.258 0.868 10.225
Bi -0.968 -1.344 7.592
Bi 0.040 2.298 4.275
Hg -2.620 -0.016 4.738
Tl 4.143 3.178 6.615
Tl -1.800 2.220 7.434
Tl 1.582 0.946 7.067
Tl -4.361 -0.012 7.885
```

Summary:
Energy of formation from the pure elements ... 0.03 eV per atom
Spin magnetization ... 0.00 μB per cell